Record 1
# Ce2InRh3 PBE optimized geometry
# Spin magnetization (Bohr magnetons per cell): 0.00
# Energy relative to the elements (eV/atom): -0.6397
data_Ce2InRh3
_cell_length_a 11.5903
_cell_length_b 5.4608
_cell_length_c 8.4997
_cell_angle_alpha 90.00
_cell_angle_beta 113.57
_cell_angle_gamma 90.00
_space_group_name_H-M_alt 'C 1 2/c 1'
_space_group_IT_number 15
loop_
_space_group_symop_operation_xyz
'x,y,z'
'-x,-y,-z'
'-x,y,-z+1/2'
'x,-y,z+1/2'
'x+1/2,y+1/2,z'
'-x+1/2,-y+1/2,-z'
'-x+1/2,y+1/2,-z+1/2'
'x+1/2,-y+1/2,z+1/2'
loop_
_atom_site_label
_atom_site_type_symbol
_atom_site_fract_x
_atom_site_fract_y
_atom_site_fract_z
Ce1 Ce 0.1782 0.0159 0.0884
In1 In 0.0000 0.3153 0.2500
Rh1 Rh 0.0000 0.1788 0.7500
Rh2 Rh 0.1336 0.4921 0.5731

=====

Record 2
# SrAsP2 PBE optimized geometry
# Spin magnetization (Bohr magnetons per cell): 0.00
# Energy relative to the elements (eV/atom): -0.0049
data_SrAsP2
_cell_length_a 4.0961
_cell_length_b 4.0961
_cell_length_c 10.1207
_cell_angle_alpha 90.00
_cell_angle_beta 90.00
_cell_angle_gamma 90.00
_space_group_name_H-M_alt 'I -4 m 2'
_space_group_IT_number 119
_space_group_name_Hall 'I -4 -2'
loop_
_atom_site_label
_atom_site_type_symbol
_atom_site_fract_x
_atom_site_fract_y
_atom_site_fract_z
Sr1 Sr 0.0000 0.0000 0.0000
As1 As 0.0000 0.5000 0.7500
P1 P 0.0000 0.0000 0.5000
P2 P 0.0000 0.5000 0.2500

=====

Record 3
# HfV2Si2 PBE optimized geometry
# Energy above the most stable polymorph in this dataset (eV/f.u.): 0.84
# Spin magnetization (Bohr magnetons per cell): 0.00
data_HfV2Si2
_cell_length_a 4.5123
_cell_length_b 3.3505
_cell_length_c 10.3237
_cell_angle_alpha 90.00
_cell_angle_beta 96.74
_cell_angle_gamma 90.00
_space_group_name_H-M_alt 'P 1 21/m 1'
_space_group_IT_number 11
loop_
_space_group_symop_operation_xyz
'x,y,z'
'-x,-y,-z'
'-x,y+1/2,-z'
'x,-y+1/2,z'
loop_
_atom_site_label
_atom_site_type_symbol
_atom_site_fract_x
_atom_site_fract_y
_atom_site_fract_z
Hf1 Hf 0.1910 0.2500 0.2574
V1 V 0.2464 0.7500 0.4864
V2 V 0.3476 0.2500 0.9074
Si1 Si 0.1515 0.7500 0.0458
Si2 Si 0.2902 0.2500 0.6640

=====

Record 4
# SbOs2 PBE optimized geometry
# E_tot (eV per cell): -101.28
# Spin magnetization (Bohr magnetons per cell): 0.00
data_SbOs2
_cell_length_a 9.8536
_cell_length_b 2.8599
_cell_length_c 8.9412
_cell_angle_alpha 90.00
_cell_angle_beta 102.07
_cell_angle_gamma 90.00
_space_group_name_H-M_alt 'C 1 2/m 1'
_space_group_IT_number 12
loop_
_space_group_symop_operation_xyz
'x,y,z'
'-x,-y,-z'
'-x,y,-z'
'x,-y,z'
'x+1/2,y+1/2,z'
'-x+1/2,-y+1/2,-z'
'-x+1/2,y+1/2,-z'
'x+1/2,-y+1/2,z'
loop_
_atom_site_label
_atom_site_type_symbol
_atom_site_fract_x
_atom_site_fract_y
_atom_site_fract_z
Sb1 Sb 0.1578 0.0000 0.1585
Os1 Os 0.0361 0.5000 0.3611
Os2 Os 0.1784 0.0000 0.5887

=====

Record 5
# Pm5Pr3Tm3 PBE optimized geometry
# Energy above the most stable polymorph in this dataset (eV/f.u.): 4.46
# Spin magnetization (Bohr magnetons per cell): 0.00
# Energy relative to the elements (eV/atom): 0.7316
data_Pm5Pr3Tm3
_cell_length_a 9.7442
_cell_length_b 9.7442
_cell_length_c 5.6195
_cell_angle_alpha 90.00
_cell_angle_beta 90.00
_cell_angle_gamma 120.00
_space_group_name_H-M_alt 'P -6 2 m'
_space_group_IT_number 189
_space_group_name_Hall 'P -6 -2'
loop_
_atom_site_label
_atom_site_type_symbol
_atom_site_fract_x
_atom_site_fract_y
_atom_site_fract_z
Pm1 Pm 0.0000 0.2704 0.0000
Pm2 Pm 0.3333 0.6667 0.0000
Pr1 Pr 0.0000 0.4248 0.5000
Tm1 Tm 0.0000 0.6310 0.0000

=====

Record 6
# BaSrCaZn PBE optimized geometry
# Energy above the most stable polymorph in this dataset (eV/f.u.): 0.59
# Spin magnetization (Bohr magnetons per cell): 0.00
# Energy relative to the elements (eV/atom): 0.0742
data_BaSrCaZn
_cell_length_a 8.6195
_cell_length_b 8.6195
_cell_length_c 8.6195
_cell_angle_alpha 90.00
_cell_angle_beta 90.00
_cell_angle_gamma 90.00
_space_group_name_H-M_alt 'F -4 3 m'
_space_group_IT_number 216
_space_group_name_Hall 'F -4 2 3'
loop_
_atom_site_label
_atom_site_type_symbol
_atom_site_fract_x
_atom_site_fract_y
_atom_site_fract_z
Ba1 Ba 0.0000 0.0000 0.0000
Sr1 Sr 0.0000 0.0000 0.5000
Ca1 Ca 0.2500 0.2500 0.2500
Zn1 Zn 0.2500 0.2500 0.7500

=====

What is the spin magnetization in the fourth record?
0.00 Bohr magnetons per cell

=====

Look up the spin magnetization of the second one.
0.00 Bohr magnetons per cell